Record 1
DFT (GGA-PBE) results for PuGa2Sn after structural relaxation.

```
PuGa2Sn
1.0
0.0000 3.5492 3.5492
3.5492 0.0000 3.5492
3.5492 3.5492 0.0000
Pu Ga Sn
1 2 1
Direct
0.0000 0.0000 0.0000
0.2500 0.2500 0.2500
0.7500 0.7500 0.7500
0.5000 0.5000 0.5000
```

Output
Raw total energy (eV per atom): -6.27
Fermi-level density of states (states/eV/cell): 9.5
Energy of formation (eV/atom): -0.1705
Total magnetic moment (μB per cell): 5.799
ΔE to the lowest computed polymorph (meV per atom): 202.3

=====

Record 2
DFT (GGA-PBE) results for Ho3ErSc after structural relaxation.

```
Ho3ErSc
1.0
8.3548 0.0000 0.0000
0.0000 6.2036 0.0000
-2.9588 0.0000 11.5942
Ho Er Sc
12 4 4
Direct
0.0292 0.1590 0.1827
0.0292 0.3410 0.6827
0.3045 0.0623 0.0160
0.3045 0.4377 0.5160
0.3888 0.0582 0.7446
0.3888 0.4418 0.2446
0.6112 0.5582 0.7554
0.6112 0.9418 0.2554
0.6955 0.5623 0.4840
0.6955 0.9377 0.9840
0.9708 0.6590 0.3173
0.9708 0.8410 0.8173
0.3128 0.5616 0.8990
0.3128 0.9384 0.3990
0.6872 0.0616 0.6010
0.6872 0.4384 0.1010
0.0677 0.6794 0.0797
0.0677 0.8206 0.5797
0.9323 0.1794 0.4203
0.9323 0.3206 0.9203
```

Output
Raw total energy (eV per atom): -4.81
Fermi-level density of states (states/eV/cell): 26.8
Energy of formation (eV/atom): 0.1120
Total magnetic moment (μB per cell): 0.000
ΔE to the lowest computed polymorph (meV per atom): 97.3

=====

Record 3
DFT (GGA-PBE) results for TbScAgPd after structural relaxation.

```
TbScAgPd
1.0
0.0000 3.4850 3.4850
3.4850 0.0000 3.4850
3.4850 3.4850 0.0000
Tb Sc Ag Pd
1 1 1 1
Direct
0.0000 0.0000 0.0000
0.5000 0.5000 0.5000
0.2500 0.2500 0.2500
0.7500 0.7500 0.7500
```

Output
Raw total energy (eV per atom): -5.30
Fermi-level density of states (states/eV/cell): 3.4
Energy of formation (eV/atom): -0.5513
Total magnetic moment (μB per cell): 0.000
ΔE to the lowest computed polymorph (meV per atom): 23.7

=====

Record 4
DFT (GGA-PBE) results for NbFe2SiTc after structural relaxation.

```
NbFe2SiTc
1.0
4.3821 0.0000 0.0000
0.0000 4.3821 0.0000
0.0000 0.0000 4.7546
Nb Fe Si Tc
1 2 1 1
Direct
0.0000 0.0000 0.0000
0.0000 0.5000 0.0000
0.5000 0.0000 0.0000
0.0000 0.0000 0.5000
0.5000 0.5000 0.5000
```

Output
Raw total energy (eV per atom): -6.94
Fermi-level density of states (states/eV/cell): 6.1
ΔE_f (raw) (eV/atom): 1.616
Total magnetic moment (μB per cell): 5.428

=====

Record 5
DFT (GGA-PBE) results for FeTeAsPb2 after structural relaxation.

```
FeTeAsPb2
1.0
5.1891 0.0000 0.0000
0.0000 5.1891 0.0000
0.0000 0.0000 4.8140
Fe Te As Pb
1 1 1 2
Direct
0.0000 0.0000 0.0000
0.0000 0.0000 0.5000
0.5000 0.5000 0.5000
0.0000 0.5000 0.0000
0.5000 0.0000 0.0000
```

Output
Raw total energy (eV per atom): -4.35
Fermi-level density of states (states/eV/cell): 2.7
ΔE_f (raw) (eV/atom): 0.386
Total magnetic moment (μB per cell): 0.652